Record 1
## KCrAs (SCAN)

Data for a PBEsol-optimized structure of KCrAs.

Structure (POSCAR):
```
KCrAs
1.0
6.5782 0.0000 0.0000
0.0000 6.5782 0.0000
0.0000 0.0000 6.5782
K Cr As
4 4 4
direct
0.0000 0.0000 0.0000
0.0000 0.5000 0.5000
0.5000 0.0000 0.5000
0.5000 0.5000 0.0000
0.2500 0.2500 0.2500
0.2500 0.7500 0.7500
0.7500 0.2500 0.7500
0.7500 0.7500 0.2500
0.0000 0.0000 0.5000
0.0000 0.5000 0.0000
0.5000 0.0000 0.0000
0.5000 0.5000 0.5000
```

Properties
- symmetry = F-43m
- DOS(E_F) (states/eV/cell) = 7.283
- excess energy over the best structure of this formula in the dataset (meV per atom) = 0
- energy relative to the elements (eV per atom) = 0.1404


Record 2
## NiSe2Br (SCAN)

Data for a PBEsol-optimized structure of NiSe2Br.

Structure (POSCAR):
```
NiSe2Br
1.0
3.6868 0.0000 0.0000
0.0000 5.7094 0.0000
0.0000 0.0000 8.1703
Ni Se Br
2 4 2
direct
0.0000 0.0000 0.0000
0.5000 0.5000 0.5000
0.0000 0.5000 0.3394
0.0000 0.5000 0.6606
0.5000 0.0000 0.1606
0.5000 0.0000 0.8394
0.0000 0.0000 0.5000
0.5000 0.5000 0.0000
```

Properties
- formation energy (no corrections) (meV/atom) = 145
- symmetry = Immm
- DOS(E_F) (states/eV/cell) = 6.867
- excess energy over the best structure of this formula in the dataset (meV per atom) = 422


Record 3
## Tl3Cd (SCAN)

Data for a PBEsol-optimized structure of Tl3Cd.

Structure (POSCAR):
```
Tl3Cd
1.0
10.5706 0.0000 0.0000
-5.2853 9.1544 0.0000
0.0000 0.0000 3.3173
Tl Cd
9 3
direct
0.0000 0.5000 0.0000
0.1667 0.3333 0.3333
0.1667 0.8333 0.3333
0.3333 0.1667 0.6667
0.5000 0.0000 0.0000
0.5000 0.5000 0.0000
0.6667 0.8333 0.3333
0.8333 0.1667 0.6667
0.8333 0.6667 0.6667
0.0000 0.0000 0.0000
0.3333 0.6667 0.6667
0.6667 0.3333 0.3333
```

Properties
- symmetry = R-3m
- DOS(E_F) (states/eV/cell) = 5.783
- energy relative to the elements (eV per atom) = 0.0670


Record 4
## Tl3BIr (SCAN)

Data for a PBEsol-optimized structure of Tl3BIr.

Structure (POSCAR):
```
Tl3BIr
1.0
4.6614 0.0000 0.0000
0.0000 4.6614 0.0000
0.0000 0.0000 4.6614
Tl B Ir
3 1 1
direct
0.0000 0.0000 0.5000
0.0000 0.5000 0.0000
0.5000 0.0000 0.0000
0.0000 0.0000 0.0000
0.5000 0.5000 0.5000
```

Properties
- symmetry = Pm-3m
- DOS(E_F) (states/eV/cell) = 2.515
- energy relative to the elements (eV per atom) = 1.2726


Record 5
## Ni2AgAu2 (SCAN)

Data for a PBEsol-optimized structure of Ni2AgAu2.

Structure (POSCAR):
```
Ni2AgAu2
1.0
3.3488 0.0000 0.0000
0.0000 3.3488 0.0000
0.0000 0.0000 13.7006
Ni Ag Au
4 2 4
direct
0.0000 0.5000 0.2500
0.0000 0.5000 0.7500
0.5000 0.0000 0.2500
0.5000 0.0000 0.7500
0.0000 0.0000 0.0000
0.5000 0.5000 0.5000
0.0000 0.0000 0.3937
0.0000 0.0000 0.6063
0.5000 0.5000 0.1063
0.5000 0.5000 0.8937
```

Properties
- symmetry = I4/mmm
- DOS(E_F) (states/eV/cell) = 4.868
- energy relative to the elements (eV per atom) = 0.2202


Record 6
## BaCaTl2 (SCAN)

Data for a PBEsol-optimized structure of BaCaTl2.

Structure (POSCAR):
```
BaCaTl2
1.0
3.9704 0.0000 0.0000
0.0000 3.9704 0.0000
0.0000 0.0000 8.0989
Ba Ca Tl
1 1 2
direct
0.0000 0.0000 0.0000
0.0000 0.0000 0.5000
0.5000 0.5000 0.2869
0.5000 0.5000 0.7131
```

Properties
- symmetry = P4/mmm
- DOS(E_F) (states/eV/cell) = 2.269
- energy relative to the elements (eV per atom) = -0.6222


- Which of these has the highest DOS(E_F)?
  KCrAs


- What is the DOS(E_F) in the second record?
  6.867 states/eV/cell